No. 1
Compound: CaPd
Source: the Alexandria database
Functional: GGA-PBE
Structure: optimized geometry

E_form: -0.179 eV/atom
calculated volume: 79 Å³/f.u.

a b c (Å): 8.5771 8.5771 8.5771
angles (deg): 90.00 90.00 90.00
With the nearest neighbours (Å) after each atom.
Atoms (fractional coordinates):
Ca 0.2011 0.2011 0.2011  4 Pd 2.74-2.90
Ca 0.2011 0.7989 0.7989  4 Pd 2.74-2.90
Ca 0.7989 0.2011 0.7989  4 Pd 2.74-2.90
Ca 0.7989 0.7989 0.2011  4 Pd 2.74-2.90
Ca 0.7011 0.7011 0.7011  4 Pd 2.74-2.90
Ca 0.7011 0.2989 0.2989  4 Pd 2.74-2.90
Ca 0.2989 0.7011 0.2989  4 Pd 2.74-2.90
Ca 0.2989 0.2989 0.7011  4 Pd 2.74-2.90
Pd 0.3855 0.3855 0.3855  4 Ca 2.74-2.90, 3 Pd 2.78
Pd 0.3855 0.6145 0.6145  4 Ca 2.74-2.90, 3 Pd 2.78
Pd 0.6145 0.3855 0.6145  4 Ca 2.74-2.90, 3 Pd 2.78
Pd 0.6145 0.6145 0.3855  4 Ca 2.74-2.90, 3 Pd 2.78
Pd 0.8855 0.8855 0.8855  4 Ca 2.74-2.90, 3 Pd 2.78
Pd 0.8855 0.1145 0.1145  4 Ca 2.74-2.90, 3 Pd 2.78
Pd 0.1145 0.8855 0.1145  4 Ca 2.74-2.90, 3 Pd 2.78
Pd 0.1145 0.1145 0.8855  4 Ca 2.74-2.90, 3 Pd 2.78



No. 2
Compound: NaTcSeBr2
Source: the Alexandria database
Functional: GGA-PBE
Structure: optimized geometry

formation energy without anion corrections: 638.4 meV per atom
calculated volume: 145 Å³/f.u.

a b c (Å): 5.1652 5.1652 5.4324
angles (deg): 90.00 90.00 90.00
With the nearest neighbours (Å) after each atom.
Atoms (fractional coordinates):
Na 0.0000 0.0000 0.0000  4 Br 2.58, 2 Se 2.72
Se 0.0000 0.0000 0.5000  2 Na 2.72
Tc 0.5000 0.5000 0.5000  4 Se 3.65, 8 Br 3.75
Br 0.0000 0.5000 0.0000  2 Na 2.58
Br 0.5000 0.0000 0.0000  2 Na 2.58



No. 3
Compound: Pa2PdPt
Source: the Alexandria database
Functional: GGA-PBE
Structure: optimized geometry

E_form: -0.557 eV/atom
calculated volume: 86 Å³/f.u.

a b c (Å): 4.9510 4.9510 4.9510
angles (deg): 60.00 60.00 60.00
With the nearest neighbours (Å) after each atom.
Atoms (fractional coordinates):
Pa 0.2500 0.2500 0.2500  4 Pd 3.03, 4 Pt 3.03
Pa 0.7500 0.7500 0.7500  4 Pt 3.03, 4 Pd 3.03
Pd 0.0000 0.0000 0.0000  8 Pa 3.03
Pt 0.5000 0.5000 0.5000  8 Pa 3.03



No. 4
Compound: NaSmPb2
Source: the Alexandria database
Functional: GGA-PBE
Structure: optimized geometry

E_form: -0.328 eV/atom
calculated volume: 118 Å³/f.u.

a b c (Å): 3.5123 3.5123 9.5893
angles (deg): 90.00 90.00 90.00
With the nearest neighbours (Å) after each atom.
Atoms (fractional coordinates):
Pb 0.0000 0.0000 0.7468  4 Sm 3.43, 4 Na 3.47, 4 Pb 3.51
Pb 0.0000 0.0000 0.2532  4 Sm 3.43, 4 Na 3.47, 4 Pb 3.51
Na 0.5000 0.5000 0.0000  8 Pb 3.47, 4 Na 3.51
Sm 0.5000 0.5000 0.5000  8 Pb 3.43, 4 Sm 3.51



No. 5
Compound: TlSb2F
Source: the Alexandria database
Functional: GGA-PBE
Structure: optimized geometry

formation energy without anion corrections: -531.4 meV per atom
calculated volume: 109 Å³/f.u.

a b c (Å): 4.2053 4.2053 12.6327
angles (deg): 80.42 80.42 90.00
With the nearest neighbours (Å) after each atom.
Atoms (fractional coordinates):
Sb 0.6017 0.1250 0.2500  4 Sb 2.84-3.12
Sb 0.1483 0.6250 0.2500  4 Sb 2.84-3.12
Sb 0.3750 0.3983 0.7500  4 Sb 2.84-3.12
Sb 0.8750 0.8517 0.7500  4 Sb 2.84-3.12
Tl 0.0000 0.0000 0.0000  4 F 2.97
Tl 0.7500 0.2500 0.5000  4 F 2.97
F 0.5000 0.5000 0.0000  4 Tl 2.97
F 0.2500 0.7500 0.5000  4 Tl 2.97



No. 6
Compound: SrThIn2Cl8
Source: the Alexandria database
Functional: GGA-PBE
Structure: optimized geometry

formation energy without anion corrections: -1779.5 meV per atom
calculated volume: 452 Å³/f.u.

a b c (Å): 7.0595 7.2139 8.8857
angles (deg): 90.00 90.00 93.72
With the nearest neighbours (Å) after each atom.
Atoms (fractional coordinates):
Sr 0.0000 0.0000 0.5000  6 Cl 2.87-3.00
Th 0.0000 0.0000 0.0000  6 Cl 2.64-2.74
In 0.5002 0.5001 0.7399  2 Cl 2.96
In 0.4998 0.4999 0.2601  2 Cl 2.96
Cl 0.1309 0.7921 0.2306  1 Th 2.74, 1 Sr 3.00
Cl 0.6763 0.7939 0.9999  1 Th 2.64
Cl 0.8690 0.2078 0.2307  1 Th 2.74, 1 Sr 3.00
Cl 0.8691 0.2079 0.7694  1 Th 2.74, 1 Sr 3.00
Cl 0.3237 0.2061 0.0001  1 Th 2.64
Cl 0.1310 0.7922 0.7693  1 Th 2.74, 1 Sr 3.00
Cl 0.6738 0.7402 0.5000  1 Sr 2.87, 2 In 2.96
Cl 0.3262 0.2598 0.5000  1 Sr 2.87, 2 In 2.96



No. 7
Compound: La6GaRu2Br3
Source: the Alexandria database
Functional: GGA-PBE
Structure: optimized geometry

formation energy without anion corrections: -949.4 meV per atom
calculated volume: 371 Å³/f.u.

a b c (Å): 4.1823 9.3855 10.1944
angles (deg): 108.50 101.84 90.00
With the nearest neighbours (Å) after each atom.
Atoms (fractional coordinates):
La 0.3391 0.8733 0.6783  2 Ru 2.87, 1 Ga 3.04
La 0.6815 0.5637 0.3630  3 Ru 2.90-2.91
La 0.6609 0.1267 0.3217  2 Ru 2.87, 1 Ga 3.04
La 0.0238 0.2506 0.0475  1 Ru 2.67
La 0.9762 0.7494 0.9525  1 Ru 2.67
La 0.3185 0.4363 0.6370  3 Ru 2.90-2.91
Ga 0.5000 0.0000 0.0000  6 La 3.04-3.07
Ru 0.8350 0.6615 0.6701  6 La 2.67-2.91
Ru 0.1650 0.3385 0.3299  6 La 2.67-2.91
Br 0.5000 0.5000 0.0000  6 La 3.29-3.47
Br 0.8346 0.1615 0.6693  6 La 3.38-3.59
Br 0.1654 0.8385 0.3307  6 La 3.38-3.59



No. 8
Compound: CaP2PtCl
Source: the Alexandria database
Functional: GGA-PBE
Structure: optimized geometry

formation energy without anion corrections: 979.4 meV per atom
calculated volume: 137 Å³/f.u.

a b c (Å): 5.3077 5.3077 4.8638
angles (deg): 90.00 90.00 90.00
With the nearest neighbours (Å) after each atom.
Atoms (fractional coordinates):
P 0.0000 0.5000 0.0000  2 Ca 2.65
P 0.5000 0.0000 0.0000  2 Ca 2.65
Ca 0.0000 0.0000 0.0000  2 Cl 2.43, 4 P 2.65
Pt 0.5000 0.5000 0.5000  8 P 3.60, 4 Cl 3.75
Cl 0.0000 0.0000 0.5000  2 Ca 2.43



No. 9
Compound: NaSmCd2In2
Source: the Alexandria database
Functional: GGA-PBE
Structure: optimized geometry

E_form: -0.287 eV/atom
calculated volume: 156 Å³/f.u.

a b c (Å): 5.0006 5.0006 7.2084
angles (deg): 90.00 90.00 120.00
With the nearest neighbours (Å) after each atom.
Atoms (fractional coordinates):
Na 0.0000 0.0000 0.0000  6 Cd 3.45, 6 In 3.47, 2 Sm 3.60
Sm 0.0000 0.0000 0.5000  6 In 3.34, 6 Cd 3.36, 2 Na 3.60
Cd 0.3333 0.6667 0.2618  3 In 2.89
Cd 0.6667 0.3333 0.7382  3 In 2.89
In 0.3333 0.6667 0.7324  3 Cd 2.89
In 0.6667 0.3333 0.2676  3 Cd 2.89



No. 10
Compound: Mg2CuIr
Source: the Alexandria database
Functional: GGA-PBE
Structure: optimized geometry

E_form: -0.196 eV/atom
calculated volume: 61 Å³/f.u.

a b c (Å): 4.8657 4.8657 4.8657
angles (deg): 132.54 132.54 69.37
With the nearest neighbours (Å) after each atom.
Atoms (fractional coordinates):
Mg 0.0000 0.0000 0.0000  4 Cu 2.77, 4 Mg 2.80, 4 Ir 2.80
Mg 0.2500 0.7500 0.5000  4 Ir 2.77, 4 Mg 2.80, 4 Cu 2.80
Ir 0.7500 0.2500 0.5000  8 Mg 2.77-2.80, 4 Cu 2.80
Cu 0.5000 0.5000 0.0000  8 Mg 2.77-2.80, 4 Ir 2.80



No. 11
Compound: Ga2FeH
Source: the Alexandria database
Functional: GGA-PBE
Structure: optimized geometry

calculated volume: 51 Å³/f.u.
uncorrected energy: -15.8 eV per cell

a b c (Å): 4.1561 4.1561 4.1561
angles (deg): 60.00 60.00 60.00
With the nearest neighbours (Å) after each atom.
Atoms (fractional coordinates):
H 0.0000 0.0000 0.0000  8 Ga 2.55
Fe 0.5000 0.5000 0.5000  8 Ga 2.55
Ga 0.2500 0.2500 0.2500  4 H 2.55, 4 Fe 2.55
Ga 0.7500 0.7500 0.7500  4 H 2.55, 4 Fe 2.55



No. 12
Compound: Cs2SrSb2O7
Source: the Alexandria database
Functional: GGA-PBE
Structure: optimized geometry

formation energy without anion corrections: -1756.7 meV per atom
calculated volume: 203 Å³/f.u.

a b c (Å): 4.0851 4.0851 12.5225
angles (deg): 80.62 80.62 90.00
With the nearest neighbours (Å) after each atom.
Atoms (fractional coordinates):
Cs 0.8114 0.8114 0.3774  4 O 2.96
Cs 0.1886 0.1886 0.6226  4 O 2.96
Sr 0.0000 0.0000 0.0000  12 O 2.72-2.89
Sb 0.5839 0.5839 0.8320  6 O 1.91-2.06
Sb 0.4161 0.4161 0.1680  6 O 1.91-2.06
O 0.5000 0.5000 0.0000  2 Sb 2.05
O 0.3375 0.3375 0.3251  1 Sb 1.91
O 0.6625 0.6625 0.6749  1 Sb 1.91
O 0.9266 0.4266 0.1469  2 Sb 2.06
O 0.4266 0.9266 0.1469  2 Sb 2.06
O 0.5734 0.0734 0.8531  2 Sb 2.06
O 0.0734 0.5734 0.8531  2 Sb 2.06